Below is a relaxed structure of Ba2SiMoO6, with properties calculated at the PBE+U level.

Calculated values
- energy (eV per atom) = -7.01
- symmetry = Immm, No. 71
- magnetization (μB per atom) = 0.20

a = 5.6238 Å, b = 5.6238 Å, c = 5.6238 Å
α = 120.12°, β = 119.30°, γ = 90.51°
Fractional coordinates of all 10 atoms:
Ba: 0.2490 0.2490 0.0000
Ba: 0.7510 0.7510 0.0000
Si: 0.5000 0.0000 0.5000
Mo: 0.0000 0.5000 0.5000
O: 0.2619 0.7619 0.5000
O: 0.2699 0.2340 0.5039
O: 0.2699 0.7660 0.0358
O: 0.7301 0.2340 0.9642
O: 0.7301 0.7660 0.4961
O: 0.7381 0.2381 0.5000